Record 1
DFT (GGA-PBE) results for Na2Sr2USe6 after structural relaxation.

Cell lengths 7.4542, 7.4542, 7.3395 Å; angles 100.02, 100.02, 118.16 degrees
Fractional coordinates of all 11 atoms:
1 Na 0.8296 0.1704 0.0000
2 Na 0.1704 0.8296 0.0000
3 Sr 0.3358 0.6642 0.5000
4 Sr 0.6642 0.3358 0.5000
5 U 0.0000 0.0000 0.5000
6 Se 0.7861 0.7861 0.7280
7 Se 0.0731 0.3722 0.7305
8 Se 0.2139 0.2139 0.2720
9 Se 0.3722 0.0731 0.7305
10 Se 0.9269 0.6278 0.2695
11 Se 0.6278 0.9269 0.2695

Results
- E_form (uncorrected) (eV per atom) = -1.4131
- calculated total energy (eV/cell) = -53.7

=====

Record 2
DFT (GGA-PBE) results for Sm2Ga2Hg after structural relaxation.

Cell lengths 4.5593, 6.0054, 9.8491 Å; angles 87.95, 76.62, 67.69 degrees
Last column: magnetic moment on the atom in μB.
Fractional coordinates of all 10 atoms:
1 Sm 0.6833 0.3097 0.3238  0.06
2 Sm 0.9153 0.2663 0.9032  0.11
3 Sm 0.3167 0.6903 0.6762  0.06
4 Sm 0.0847 0.7337 0.0968  0.11
5 Ga 0.0668 0.3021 0.5642  0.00
6 Ga 0.6370 0.8340 0.8920  0.00
7 Ga 0.9332 0.6979 0.4358  0.00
8 Ga 0.3630 0.1660 0.1080  0.00
9 Hg 0.6224 0.0998 0.6553  0.00
10 Hg 0.3776 0.9002 0.3447  0.00

Results
- calculated total energy (eV/cell) = -37.2
- density of states at the Fermi level (states/eV/cell) = 6.48
- ΔE_f (eV/atom) = -0.561

=====

Record 3
DFT (GGA-PBE) results for SiNiPH after structural relaxation.

Cell lengths 4.7184, 2.6478, 8.4209 Å; angles 90.00, 108.99, 90.00 degrees
Fractional coordinates of all 8 atoms:
1 Si 0.6194 0.0000 0.2613
2 Si 0.6194 0.5000 0.7613
3 Ni 0.4878 0.0000 0.5311
4 Ni 0.4878 0.5000 0.0311
5 P 0.9850 0.0000 0.5096
6 P 0.9850 0.5000 0.0096
7 H 0.3323 0.0000 0.3288
8 H 0.3323 0.5000 0.8288

Results
- calculated total energy (eV/cell) = -40.0
- density of states at the Fermi level (states/eV/cell) = 2.43

=====

Record 4
DFT (GGA-PBE) results for ZrSBr2 after structural relaxation.

Cell lengths 3.5305, 4.9904, 7.9132 Å; angles 108.05, 90.00, 110.72 degrees
Fractional coordinates of all 4 atoms:
1 Zr 0.7401 0.4803 0.3750
2 S 0.4345 0.8690 0.3750
3 Br 0.0875 0.1751 0.1072
4 Br 0.2379 0.4757 0.6429

Results
- E_form (uncorrected) (eV per atom) = -1.2810
- calculated total energy (eV/cell) = -21.1
- density of states at the Fermi level (states/eV/cell) = 0.33

=====

Record 5
DFT (GGA-PBE) results for Cs2Te2Br7 after structural relaxation.

Cell lengths 8.4390, 7.5848, 7.5848 Å; angles 93.97, 93.86, 93.86 degrees
Last column: magnetic moment on the atom in μB.
Fractional coordinates of all 11 atoms:
1 Cs 0.0000 0.2390 0.7610  0.00
2 Cs 0.0000 0.7610 0.2390  0.00
3 Te 0.5323 0.2702 0.2702  0.19
4 Te 0.4677 0.7298 0.7298  0.19
5 Br 0.7025 0.8890 0.5475  0.06
6 Br 0.2975 0.4525 0.1110  0.06
7 Br 0.2975 0.1110 0.4525  0.06
8 Br 0.7025 0.5475 0.8890  0.06
9 Br 0.5000 0.0000 0.0000  0.00
10 Br 0.1372 0.7371 0.7371  0.01
11 Br 0.8628 0.2629 0.2629  0.01

Results
- E_form (uncorrected) (eV per atom) = -0.7378
- calculated total energy (eV/cell) = -27.8
- density of states at the Fermi level (states/eV/cell) = 4.83

=====

Record 6
DFT (GGA-PBE) results for AcNd2Hg after structural relaxation.

Cell lengths 3.8569, 3.8569, 9.0018 Å; angles 90.00, 90.00, 90.00 degrees
Fractional coordinates of all 4 atoms:
1 Ac 0.5000 0.5000 0.5000
2 Nd 0.0000 0.0000 0.7893
3 Nd 0.0000 0.0000 0.2107
4 Hg 0.5000 0.5000 0.0000

Results
- calculated total energy (eV/cell) = -14.9
- density of states at the Fermi level (states/eV/cell) = 5.60
- ΔE_f (eV/atom) = -0.227

=====

Density (computed, g cm⁻³): 4.58; 8.78; 3.96; 3.82; 3.72; 8.88